VASP calculation (PBE) on CsAuI3 after structural relaxation.

Cell and atoms, written as POSCAR:
```
CsAuI3
1.0
4.216 2.434 6.520
-4.216 2.434 6.520
0.000 -4.868 6.520
Cs Au I
1 1 3
Cartesian
0.000 0.000 0.000 Cs
0.000 0.000 15.963 Au
0.000 -2.212 3.181 I
-1.916 1.106 3.181 I
1.916 1.106 3.181 I
```

Output
* DOS at the Fermi energy: 7.63 states/eV per cell

VASP calculation (PBE) on CsAuI3 after structural relaxation.

Cell and atoms, written as POSCAR:
```
CsAuI3
1.0
11.447 0.000 0.000
0.000 6.935 0.000
-6.555 0.000 12.635
Cs Au I
4 4 12
Cartesian
-0.432 1.636 5.809 Cs
-3.710 1.832 12.127 Cs
8.602 5.103 0.508 Cs
5.324 5.300 6.826 Cs
1.399 3.904 2.550 Au
-1.878 6.499 8.867 Au
6.770 0.436 3.768 Au
3.492 3.031 10.085 Au
-3.696 1.350 8.231 I
-0.419 2.117 1.913 I
1.554 5.062 5.052 I
-1.723 5.341 11.370 I
0.223 5.096 8.088 I
3.500 5.307 1.771 I
1.392 1.628 10.864 I
4.669 1.839 4.547 I
6.615 1.594 1.265 I
3.338 1.873 7.583 I
5.311 4.818 10.722 I
8.588 5.585 4.404 I
```

Output
* DOS at the Fermi energy: 0.51 states/eV per cell

VASP calculation (PBE) on Cs7Au2I2 after structural relaxation.

Cell and atoms, written as POSCAR:
```
Cs7Au2I2
1.0
8.226 -5.370 0.000
8.226 5.370 0.000
-7.991 0.000 17.022
Cs Au I
14 4 4
Cartesian
2.976 3.530 6.781 Cs
2.233 4.347 12.767 Cs
-1.519 1.461 15.053 Cs
4.935 0.712 2.226 Cs
9.481 3.530 1.730 Cs
0.939 -0.712 10.737 Cs
2.477 -1.461 6.542 Cs
5.985 1.461 10.480 Cs
7.523 0.712 6.285 Cs
-1.019 -3.530 15.292 Cs
3.527 -0.712 14.796 Cs
9.981 -1.461 1.969 Cs
6.229 -4.347 4.256 Cs
5.486 -3.530 10.241 Cs
1.789 1.041 4.069 Au
-2.207 -1.041 12.580 Au
10.669 1.041 4.442 Au
6.673 -1.041 12.953 Au
-5.483 1.052 16.138 I
-1.487 -1.052 7.627 I
9.949 1.052 9.395 I
13.944 -1.052 0.884 I
```

Output
* DOS at the Fermi energy: 11.66 states/eV per cell

VASP calculation (PBE) on CsAuI after structural relaxation.

Cell and atoms, written as POSCAR:
```
CsAuI
1.0
7.372 -2.841 0.000
7.372 2.841 0.000
-0.004 0.000 7.214
Cs Au I
2 2 2
Cartesian
1.810 0.000 1.810 Cs
12.930 0.000 5.404 Cs
1.834 0.000 5.419 Au
12.906 0.000 1.795 Au
5.646 0.000 1.795 I
9.094 0.000 5.419 I
```

Output
* DOS at the Fermi energy: 2.33 states/eV per cell

VASP calculation (PBE) on CsAuI3 after structural relaxation.

Cell and atoms, written as POSCAR:
```
CsAuI3
1.0
10.142 0.000 0.000
0.000 9.188 0.000
-4.049 0.000 10.821
Cs Au I
4 4 12
Cartesian
1.125 1.140 3.263 Cs
-0.899 3.454 8.673 Cs
6.992 5.734 2.148 Cs
4.968 8.047 7.558 Cs
2.107 6.267 4.207 Au
0.082 7.514 9.617 Au
6.011 1.673 1.203 Au
3.986 2.921 6.614 Au
-3.462 5.880 10.670 I
-1.437 7.901 5.260 I
-0.018 4.888 4.739 I
-2.043 8.894 10.149 I
1.988 1.369 7.111 I
4.012 3.225 1.701 I
2.081 5.962 9.120 I
4.105 7.819 3.710 I
8.136 0.294 0.671 I
6.112 4.300 6.082 I
7.530 1.287 5.561 I
9.555 3.307 0.150 I
```

Output
* DOS at the Fermi energy: 0.00 states/eV per cell

VASP calculation (PBE) on CsAuI2 after structural relaxation.

Cell and atoms, written as POSCAR:
```
CsAuI2
1.0
8.422 0.000 0.000
-4.211 7.293 0.000
0.000 0.000 10.139
Cs Au I
3 3 6
Cartesian
-2.640 4.573 1.690 Cs
1.571 2.721 5.070 Cs
5.280 0.000 8.450 Cs
-3.051 5.284 6.760 Au
1.160 2.010 0.000 Au
6.101 0.000 3.380 Au
-0.695 3.101 8.706 I
-1.178 6.345 5.326 I
3.033 0.949 1.433 I
1.873 5.141 1.946 I
3.516 4.193 8.193 I
6.084 2.152 4.813 I
```

Output
* distance to the lowest polymorph of the same formula: 0.000 eV per atom
* DOS at the Fermi energy: 0.00 states/eV per cell

VASP calculation (PBE) on CsAuI3 after structural relaxation.

Cell and atoms, written as POSCAR:
```
CsAuI3
1.0
5.689 0.000 0.000
0.000 4.452 5.131
0.000 -4.452 5.131
Cs Au I
1 1 3
Cartesian
0.000 0.000 0.000 Cs
2.844 0.000 3.486 Au
0.000 0.000 3.844 I
2.844 -2.628 3.157 I
2.844 2.628 3.157 I
```

Output
* DOS at the Fermi energy: 0.74 states/eV per cell

VASP calculation (PBE) on CsAuI3 after structural relaxation.

Cell and atoms, written as POSCAR:
```
CsAuI3
1.0
5.529 -10.502 0.000
5.529 10.502 0.000
-0.014 0.000 8.945
Cs Au I
4 4 12
Cartesian
5.518 8.980 6.709 Cs
5.525 1.559 2.236 Cs
5.518 -1.559 6.709 Cs
5.525 -8.980 2.236 Cs
2.754 3.433 5.621 Au
2.761 -3.433 1.148 Au
8.282 3.433 7.797 Au
8.289 -3.433 3.325 Au
2.748 4.275 2.927 I
2.743 2.976 8.321 I
2.762 0.777 4.903 I
2.769 -0.777 0.430 I
2.750 -2.976 3.849 I
2.741 -4.275 7.400 I
8.303 4.275 1.545 I
8.294 2.976 5.097 I
8.275 0.777 8.515 I
8.281 -0.777 4.043 I
8.300 -2.976 0.624 I
8.296 -4.275 6.018 I
```

Output
* DOS at the Fermi energy: 9.35 states/eV per cell

VASP calculation (PBE) on CsAuI4 after structural relaxation.

Cell and atoms, written as POSCAR:
```
CsAuI4
1.0
2.959 -11.433 0.000
2.959 11.433 0.000
0.000 0.000 7.841
Cs Au I
2 2 8
Cartesian
2.959 9.290 5.881 Cs
2.959 -9.290 1.960 Cs
2.959 2.136 5.881 Au
2.959 -2.136 1.960 Au
2.959 9.396 1.960 I
2.959 4.023 0.086 I
2.959 4.023 3.835 I
2.959 0.000 0.000 I
2.959 0.000 3.921 I
2.959 -4.023 4.007 I
2.959 -4.023 7.755 I
2.959 -9.396 5.881 I
```

Output
* DOS at the Fermi energy: 7.70 states/eV per cell

VASP calculation (PBE) on CsAuI3 after structural relaxation.

Cell and atoms, written as POSCAR:
```
CsAuI3
1.0
8.701 0.000 0.000
0.000 11.542 0.000
0.000 0.000 8.760
Cs Au I
4 4 12
Cartesian
0.007 2.886 0.023 Cs
4.344 8.657 4.403 Cs
4.357 2.886 4.357 Cs
8.694 8.657 8.737 Cs
0.000 0.000 4.380 Au
0.000 5.771 4.380 Au
4.351 0.000 0.000 Au
4.351 5.771 0.000 Au
0.026 2.886 4.349 I
1.893 5.799 2.506 I
1.893 11.515 2.506 I
2.458 0.028 6.886 I
2.458 5.743 6.886 I
4.325 8.657 8.729 I
4.376 2.886 0.031 I
6.243 5.799 1.874 I
6.243 11.515 1.874 I
6.808 0.028 6.254 I
6.808 5.743 6.254 I
8.675 8.657 4.411 I
```

Output
* DOS at the Fermi energy: 0.13 states/eV per cell

VASP calculation (PBE) on Cs11Au2I after structural relaxation.

Cell and atoms, written as POSCAR:
```
Cs11Au2I
1.0
-7.063 9.144 9.680
7.063 -9.144 9.680
7.063 9.144 -9.680
Cs Au I
22 4 2
Cartesian
0.000 0.000 0.000 Cs
8.663 4.032 -3.023 Cs
9.988 -0.870 2.421 Cs
8.663 -4.032 6.657 Cs
4.137 0.870 2.421 Cs
5.250 -5.087 9.680 Cs
5.250 5.087 0.000 Cs
4.137 -0.870 7.259 Cs
8.663 4.032 3.023 Cs
2.926 10.015 -2.421 Cs
1.600 5.112 3.023 Cs
0.000 0.000 9.680 Cs
5.462 4.032 6.657 Cs
4.137 -0.870 12.100 Cs
-1.600 5.112 6.657 Cs
2.926 10.015 2.421 Cs
1.813 4.058 9.680 Cs
1.813 14.231 0.000 Cs
2.926 8.274 7.259 Cs
-1.600 13.177 3.023 Cs
-2.926 10.015 7.259 Cs
-1.600 5.112 12.703 Cs
2.128 3.047 0.000 Au
9.191 6.098 0.000 Au
-2.128 3.047 9.680 Au
4.934 6.098 9.680 Au
7.063 0.000 4.840 I
0.000 9.144 4.840 I
```

Output
* DOS at the Fermi energy: 22.73 states/eV per cell

VASP calculation (PBE) on CsAuI3 after structural relaxation.

Cell and atoms, written as POSCAR:
```
CsAuI3
1.0
-3.131 3.131 13.454
3.131 -3.131 13.454
3.131 3.131 -13.454
Cs Au I
2 2 6
Cartesian
0.000 0.000 2.440 Cs
0.000 0.000 24.469 Cs
0.000 0.000 13.454 Au
0.000 3.131 6.727 Au
3.131 0.000 0.058 I
3.131 1.604 -4.451 I
3.131 0.000 13.396 I
0.000 1.527 9.003 I
1.604 3.131 4.451 I
1.527 0.000 17.905 I
```

Output
* DOS at the Fermi energy: 2.05 states/eV per cell

VASP calculation (PBE) on Cs6Au4I after structural relaxation.

Cell and atoms, written as POSCAR:
```
Cs6Au4I
1.0
5.198 -5.200 0.000
5.198 5.200 0.000
-5.179 0.000 10.243
Cs Au I
6 4 1
Cartesian
0.000 0.000 0.000 Cs
2.942 2.916 7.199 Cs
5.538 2.601 3.600 Cs
5.828 0.000 0.001 Cs
2.942 -2.916 7.199 Cs
5.538 -2.601 3.600 Cs
2.917 2.219 0.638 Au
0.724 0.000 6.565 Au
2.917 -2.219 0.638 Au
5.159 0.000 6.560 Au
8.137 0.000 3.601 I
```

Output
* DOS at the Fermi energy: 5.31 states/eV per cell

VASP calculation (PBE) on Cs2InAuI after structural relaxation.

Cell and atoms, written as POSCAR:
```
Cs2InAuI
1.0
6.973 0.000 0.000
0.000 6.973 0.000
0.000 0.000 5.265
Cs In Au I
2 1 1 1
Cartesian
0.000 3.487 0.000 Cs
3.487 0.000 0.000 Cs
0.000 0.000 2.632 In
0.000 0.000 0.000 Au
3.487 3.487 2.632 I
```

Output
* DOS at the Fermi energy: 3.04 states/eV per cell

VASP calculation (PBE) on CsInAuI2 after structural relaxation.

Cell and atoms, written as POSCAR:
```
CsInAuI2
1.0
6.390 0.000 0.000
0.000 6.390 0.000
0.000 0.000 5.307
Cs In Au I
1 1 1 2
Cartesian
0.000 0.000 0.000 Cs
3.195 3.195 2.654 In
3.195 3.195 0.000 Au
0.000 3.195 2.654 I
3.195 0.000 2.654 I
```

Output
* DOS at the Fermi energy: 0.50 states/eV per cell

VASP calculation (PBE) on CsIn2AuI8 after structural relaxation.

Cell and atoms, written as POSCAR:
```
CsIn2AuI8
1.0
7.697 0.000 0.000
-3.848 6.666 0.000
0.000 0.000 10.855
Cs In Au I
1 2 1 8
Cartesian
0.000 0.000 0.000 Cs
0.000 4.444 8.095 In
3.848 2.222 2.760 In
0.000 0.000 5.427 Au
-2.626 4.578 3.599 I
1.197 2.103 3.599 I
2.420 0.015 7.255 I
0.000 4.444 0.005 I
3.848 2.222 10.850 I
1.429 6.651 3.599 I
2.652 4.563 7.255 I
6.474 2.088 7.255 I
```

VASP calculation (PBE) on CsIrAuI2 after structural relaxation.

Cell and atoms, written as POSCAR:
```
CsIrAuI2
1.0
6.975 0.000 0.000
0.000 6.975 0.000
0.000 0.000 5.460
Cs Ir Au I
1 1 1 2
Cartesian
0.000 0.000 0.000 Cs
0.000 0.000 2.730 Ir
3.488 3.488 2.730 Au
0.000 3.488 0.000 I
3.488 0.000 0.000 I
```

Output
* DOS at the Fermi energy: 4.02 states/eV per cell

VASP calculation (PBE) on Cs2IrAuI6 after structural relaxation.

Cell and atoms, written as POSCAR:
```
Cs2IrAuI6
1.0
-4.086 4.086 5.731
4.086 -4.086 5.731
4.086 4.086 -5.731
Cs Ir Au I
2 1 1 6
Cartesian
4.086 0.000 2.866 Cs
0.000 4.086 2.866 Cs
0.000 0.000 0.000 Ir
0.000 0.000 5.731 Au
1.939 1.939 0.000 I
2.147 -2.147 5.731 I
0.000 0.000 2.748 I
0.000 0.000 8.714 I
-2.147 2.147 5.731 I
2.147 2.147 5.731 I
```

Output
* DOS at the Fermi energy: 3.34 states/eV per cell

VASP calculation (PBE) on CsK2AuI after structural relaxation.

Cell and atoms, written as POSCAR:
```
CsK2AuI
1.0
6.356 0.000 0.000
0.000 6.356 0.000
0.000 0.000 6.904
Cs K Au I
1 2 1 1
Cartesian
0.000 0.000 0.000 Cs
0.000 3.178 3.452 K
3.178 0.000 3.452 K
0.000 0.000 3.452 Au
3.178 3.178 0.000 I
```

Output
* DOS at the Fermi energy: 4.43 states/eV per cell

VASP calculation (PBE) on Cs2KAu2I6 after structural relaxation.

Cell and atoms, written as POSCAR:
```
Cs2KAu2I6
1.0
7.709 -3.935 0.000
7.709 3.935 0.000
-4.688 0.000 9.204
Cs K Au I
2 1 2 6
Cartesian
2.122 0.000 1.943 Cs
8.607 0.000 7.260 Cs
-2.344 0.000 4.602 K
3.396 0.000 6.873 Au
7.333 0.000 2.331 Au
5.748 2.081 1.625 I
0.998 0.000 5.745 I
4.981 2.081 7.579 I
5.748 -2.081 1.625 I
9.731 0.000 3.458 I
4.981 -2.081 7.579 I
```

Output
* DOS at the Fermi energy: 5.39 states/eV per cell

Computed formation energy (no corrections) (eV/atom) in order:
-0.5226, -0.6274, -0.6326, -0.5843, -0.6729, -0.8316, -0.6521, -0.6222, -0.4902, -0.7012, -0.2521, -0.5243, -0.4691, -0.5842, -0.6550, -0.5782, 1.5069, -0.5646, -0.5672, -0.8181